First-principles (PBE) data for a relaxed structure of LiHoSe2, as listed in Alexandria.

Results
The calculation puts the energy at -40.4 eV/cell. The density of states at the Fermi level is 0.00 states/eV per atom. For the density, the calculation gives 5.889 g/cm³. The uncorrected formation energy is -1.681 eV/atom. The symmetry is I4_1/amd (141).

Geometry as POSCAR:
```
LiHoSe2
1.0
-2.834 2.834 5.787
2.834 -2.834 5.787
2.834 2.834 -5.787
Li Ho Se
2 2 4
direct
0.375 0.625 0.750
0.625 0.375 0.250
0.125 0.875 0.250
0.875 0.125 0.750
0.121 0.371 0.750
0.371 0.121 0.250
0.629 0.879 0.750
0.879 0.629 0.250
```